No. 1
Crystalline Tb2Er2ThMg5 at its relaxed geometry, computed with PBE.

Lattice parameters (Å, degrees): 10.5007 10.5007 5.1630 90.00 90.00 90.00
Closest atoms and distances in Å follow each position.
Space group P4/mbm (No. 127)
Symmetry-distinct sites (fractional):
Tb (0.1775, 0.3225, 0.0000) (multiplicity 4)  3 Er 3.02-3.18
Er (0.1193, 0.6193, 0.0000) (multiplicity 4)  3 Tb 3.02-3.18, 6 Mg 3.13-3.25
Th (0.0000, 0.0000, 0.0000) (multiplicity 2)  8 Mg 3.41
Mg (0.0000, 0.5000, 0.5000) (multiplicity 2)  4 Er 3.13, 4 Mg 3.27
Mg (0.0756, 0.8021, 0.5000) (multiplicity 8)  4 Mg 3.15-3.36, 2 Er 3.25, 2 Th 3.41

Computed properties:
Energy of formation from the pure elements: 0.115 eV per atom

***

No. 2
Crystalline La2Te at its relaxed geometry, computed with PBE.

Lattice parameters (Å, degrees): 5.0021 5.0021 5.0669 90.00 90.00 120.00
Closest atoms and distances in Å follow each position.
Space group P-3m1 (No. 164)
Symmetry-distinct sites (fractional):
La (0.3333, 0.6667, 0.2430) (multiplicity 2)  3 Te 3.17
Te (0.0000, 0.0000, 0.5000) (multiplicity 1)  6 La 3.17

Computed properties:
ΔE_f (raw): -0.653 eV/atom

***

No. 3
Crystalline CaTl2Bi2Pb at its relaxed geometry, computed with PBE.

Lattice parameters (Å, degrees): 4.9715 10.9271 7.4853 90.00 90.00 90.00
Closest atoms and distances in Å follow each position.
Space group Pmc2_1 (No. 26)
Symmetry-distinct sites (fractional):
Ca (0.0000, 0.0788, 0.0000) (multiplicity 2)  5 Bi 3.32-3.53, 2 Pb 3.59
Tl (0.0000, 0.3172, 0.3558) (multiplicity 2)  4 Bi 3.35-3.52, 2 Tl 3.48, 1 Ca 3.72
Tl (0.5000, 0.4503, 0.0949) (multiplicity 2)  4 Bi 3.47-3.56, 2 Tl 3.48
Bi (0.0000, 0.3630, 0.7979) (multiplicity 2)  2 Pb 3.20, 6 Tl 3.35-3.56, 1 Ca 3.45
Bi (0.5000, 0.1000, 0.2915) (multiplicity 2)  2 Pb 3.19-3.27, 4 Ca 3.32-3.53, 2 Tl 3.47
Pb (0.5000, 0.1922, 0.6954) (multiplicity 2)  4 Bi 3.19-3.27

Computed properties:
Energy of formation from the pure elements: -0.238 eV per atom

***

Number 1: uncorrected energy -32.6 eV/f.u., calculated volume 28.46 A^3/atom. Number 2: uncorrected energy -15.0 eV/f.u., calculated volume 36.60 A^3/atom. Number 3: uncorrected energy -19.6 eV/f.u., calculated volume 33.89 A^3/atom.